a.
Pm7Nd2Dy2: relaxed, GGA-PBE.

DOS at the Fermi energy (states/eV/cell): 15.3
Total moment (μB/atom): 0.000
V (Å³ per cell): 382.5

```
Pm7Nd2Dy2
1.0
6.2736 -3.5381 0.0000
6.2736 3.5381 0.0000
-3.6084 0.0000 8.6168
Pm Nd Dy
7 2 2
Cartesian
0.0000 0.0000 0.0000
0.0794 1.6260 7.1093
0.0794 -1.6260 7.1093
5.5704 0.0000 1.4601
3.3685 0.0000 7.1567
8.8595 1.6260 1.5075
8.8595 -1.6260 1.5075
1.3143 0.0000 4.0358
7.6245 0.0000 4.5811
4.4694 1.7718 4.3084
4.4694 -1.7718 4.3084
```

***

b.
Pm7Nd2Dy2: relaxed, GGA-PBE.

DOS at the Fermi energy (states/eV/cell): 16.7
Total moment (μB/atom): 0.000
V (Å³ per cell): 385.0

```
Pm7Nd2Dy2
1.0
4.4650 -6.3345 0.0000
4.4650 6.3345 0.0000
-1.7197 0.0000 6.8053
Pm Nd Dy
7 2 2
Cartesian
0.0000 0.0000 0.0000
1.6574 3.1309 5.3820
2.2293 0.0000 2.5981
5.5531 3.1309 1.4233
1.6574 -3.1309 5.3820
4.9811 0.0000 4.2072
5.5531 -3.1309 1.4233
1.3580 0.0000 6.0275
5.8524 0.0000 0.7777
3.6052 4.7944 3.4026
3.6052 -4.7944 3.4026
```

***

Relative energies, in meV per atom, with the most stable structure set to zero: a 0; b 117.

***

a.
Pm4Nd3Dy4: relaxed, GGA-PBE.

DOS at the Fermi energy (states/eV/cell): 17.8
Total moment (μB/atom): 0.000
V (Å³ per cell): 376.3

```
Pm4Nd3Dy4
1.0
10.7670 0.0000 0.0000
0.0000 2.8840 6.0598
0.0000 -2.8840 6.0598
Pm Nd Dy
4 3 4
Cartesian
0.0000 0.0000 0.0000
2.2790 0.0000 9.6097
5.3835 0.0000 11.2098
8.4880 0.0000 9.6097
0.0000 0.0000 3.5671
3.1460 0.0000 5.4436
7.6210 0.0000 5.4436
0.0000 0.0000 7.2123
3.2429 0.0000 1.7475
5.3835 0.0000 7.9163
7.5241 0.0000 1.7475
```

***

b.
Pm4Nd3Dy4: relaxed, GGA-PBE.

DOS at the Fermi energy (states/eV/cell): 15.5
Total moment (μB/atom): 0.000
V (Å³ per cell): 380.4

```
Pm4Nd3Dy4
1.0
-1.8109 4.7390 11.0807
1.8109 -4.7390 11.0807
1.8109 4.7390 -11.0807
Pm Nd Dy
4 3 4
Cartesian
1.8109 -3.0532 7.8505
0.0000 1.6859 3.2301
1.8109 3.0532 7.8505
0.0000 7.7922 3.2301
1.8109 0.0000 0.0000
0.0000 0.0000 8.6704
0.0000 0.0000 13.4909
1.8109 0.0000 5.7314
0.0000 3.0110 0.0000
0.0000 6.4671 0.0000
0.0000 4.7390 5.3493
```

***

Relative energies, in meV per atom, with the most stable structure set to zero: a 21; b 0.

***

a.
Pm2Nd7Dy3: relaxed, GGA-PBE.

DOS at the Fermi energy (states/eV/cell): 19.8
Total moment (μB/atom): 0.000
V (Å³ per cell): 413.5

```
Pm2Nd7Dy3
1.0
2.9238 -19.2973 0.0000
2.9238 19.2973 0.0000
0.0000 0.0000 3.6642
Pm Nd Dy
2 7 3
Cartesian
2.9238 13.5630 0.0000
2.9238 -13.5630 0.0000
0.0000 0.0000 0.0000
2.9238 16.5158 1.8321
2.9238 10.3608 0.0000
2.9238 3.5312 0.0000
2.9238 -3.5312 0.0000
2.9238 -10.3608 0.0000
2.9238 -16.5158 1.8321
2.9238 7.1394 1.8321
2.9238 0.0000 1.8321
2.9238 -7.1394 1.8321
```

***

b.
Pm2Nd7Dy3: relaxed, GGA-PBE.

DOS at the Fermi energy (states/eV/cell): 18.4
Total moment (μB/atom): 0.000
V (Å³ per cell): 435.0

```
Pm2Nd7Dy3
1.0
6.2441 0.0000 0.0000
0.0000 5.5455 0.0000
-0.1282 0.0000 12.5621
Pm Nd Dy
2 7 3
Cartesian
0.6089 0.0000 3.5142
5.5070 0.0000 9.0478
0.2530 2.7728 10.2907
1.5496 0.0000 6.8665
2.5137 0.0000 10.4247
3.1220 2.7728 0.0000
3.6021 0.0000 2.1374
4.5662 0.0000 5.6955
5.8628 2.7728 2.2713
0.0000 0.0000 0.0000
2.6621 2.7728 4.3272
3.4537 2.7728 8.2349
```

***

Relative energies, in meV per atom, with the most stable structure set to zero: a 0; b 173.

***

a.
PmNd4Dy6: relaxed, GGA-PBE.

DOS at the Fermi energy (states/eV/cell): 15.3
Total moment (μB/atom): 0.000
V (Å³ per cell): 393.8

```
PmNd4Dy6
1.0
-3.8798 3.8798 6.5407
3.8798 -3.8798 6.5407
3.8798 3.8798 -6.5407
Pm Nd Dy
1 4 6
Cartesian
0.0000 0.0000 0.0000
2.5288 2.5288 -0.9912
1.3510 -1.3510 7.5319
1.3510 1.3510 5.5494
-1.3510 1.3510 7.5319
3.8798 0.0000 0.0000
1.9663 -1.9663 4.1200
1.9136 1.9136 2.4206
0.0000 3.8798 0.0000
-1.9663 1.9663 4.1200
1.9663 1.9663 8.9613
```

***

b.
PmNd4Dy6: relaxed, GGA-PBE.

DOS at the Fermi energy (states/eV/cell): 15.0
Total moment (μB/atom): 0.000
V (Å³ per cell): 381.6

```
PmNd4Dy6
1.0
-3.3494 3.3494 8.5047
3.3494 -3.3494 8.5047
3.3494 3.3494 -8.5047
Pm Nd Dy
1 4 6
Cartesian
0.0000 0.0000 0.0000
1.2747 1.2747 -2.9889
2.0747 -2.0747 11.4936
2.0747 2.0747 5.5158
-2.0747 2.0747 11.4936
3.3494 0.0000 0.0000
1.1895 -1.1895 6.3906
2.1599 2.1599 2.1141
0.0000 3.3494 0.0000
-1.1895 1.1895 6.3906
1.1895 1.1895 10.6188
```

***

Relative energies, in meV per atom, with the most stable structure set to zero: a 136; b 0.